Entry from Alexandria via LeMat-Bulk: TmZn4Rh2 after structural relaxation (PBE).

Values from the calculation:
**E_form**: -0.46 eV/atom
**Density of states at the Fermi level**: 0.410 states/eV per atom

a b c (Å): 7.5068 7.5068 4.1171
angles (deg): 90.00 90.00 90.00
Closest atoms and distances in Å follow each position.
Fractional coordinates of all 14 atoms:
Tm  0.0000  0.0000  0.0000  6 Rh 3.05-3.06, 4 Zn 3.22
Tm  0.5000  0.5000  0.5000  6 Rh 3.05-3.06, 4 Zn 3.22
Zn  0.0976  0.3528  0.5000  3 Rh 2.55-2.56, 6 Zn 2.65-2.78
Zn  0.1472  0.5976  0.0000  3 Rh 2.55-2.56, 6 Zn 2.65-2.78
Zn  0.3528  0.0976  0.5000  3 Rh 2.55-2.56, 6 Zn 2.65-2.78
Zn  0.4024  0.8528  0.0000  3 Rh 2.55-2.56, 6 Zn 2.65-2.78
Zn  0.5976  0.1472  0.0000  3 Rh 2.55-2.56, 6 Zn 2.65-2.78
Zn  0.6472  0.9024  0.5000  3 Rh 2.55-2.56, 6 Zn 2.65-2.78
Zn  0.8528  0.4024  0.0000  3 Rh 2.55-2.56, 6 Zn 2.65-2.78
Zn  0.9024  0.6472  0.5000  3 Rh 2.55-2.56, 6 Zn 2.65-2.78
Rh  0.2127  0.7873  0.5000  6 Zn 2.55-2.56
Rh  0.2873  0.2873  0.0000  6 Zn 2.55-2.56
Rh  0.7127  0.7127  0.0000  6 Zn 2.55-2.56
Rh  0.7873  0.2127  0.5000  6 Zn 2.55-2.56



Entry from Alexandria via LeMat-Bulk: Tm4ZnRh after structural relaxation (PBE).

Values from the calculation:
**E_form**: -0.50 eV/atom
**Distance to the lowest polymorph of the same formula**: 0 meV per atom
**Density of states at the Fermi level**: 0.669 states/eV per atom

a b c (Å): 9.3396 9.3396 9.3396
angles (deg): 60.00 60.00 60.00
Closest atoms and distances in Å follow each position.
Fractional coordinates of all 24 atoms:
Tm  0.0594  0.0594  0.4406  2 Rh 2.76
Tm  0.0594  0.4406  0.0594  2 Rh 2.76
Tm  0.0594  0.4406  0.4406  2 Rh 2.76
Tm  0.1846  0.6051  0.6051  3 Rh 2.79
Tm  0.1857  0.1857  0.8143  2 Zn 3.20, 10 Tm 3.39-3.50, 2 Rh 3.39
Tm  0.1857  0.8143  0.1857  2 Zn 3.20, 10 Tm 3.39-3.50, 2 Rh 3.39
Tm  0.1857  0.8143  0.8143  2 Zn 3.20, 10 Tm 3.39-3.50, 2 Rh 3.39
Tm  0.4406  0.0594  0.0594  2 Rh 2.76
Tm  0.4406  0.0594  0.4406  2 Rh 2.76
Tm  0.4406  0.4406  0.0594  2 Rh 2.76
Tm  0.6051  0.1846  0.6051  3 Rh 2.79
Tm  0.6051  0.6051  0.1846  3 Rh 2.79
Tm  0.6051  0.6051  0.6051  3 Rh 2.79
Tm  0.8143  0.1857  0.1857  2 Zn 3.20, 10 Tm 3.39-3.50, 2 Rh 3.39
Tm  0.8143  0.1857  0.8143  2 Zn 3.20, 10 Tm 3.39-3.50, 2 Rh 3.39
Tm  0.8143  0.8143  0.1857  2 Zn 3.20, 10 Tm 3.39-3.50, 2 Rh 3.39
Zn  0.5134  0.8289  0.8289  3 Zn 2.95, 6 Tm 3.20
Zn  0.8289  0.5134  0.8289  3 Zn 2.95, 6 Tm 3.20
Zn  0.8289  0.8289  0.5134  3 Zn 2.95, 6 Tm 3.20
Zn  0.8289  0.8289  0.8289  3 Zn 2.95, 6 Tm 3.20
Rh  0.3943  0.3943  0.3943  6 Tm 2.76-2.79
Rh  0.3943  0.3943  0.8171  6 Tm 2.76-2.79
Rh  0.3943  0.8171  0.3943  6 Tm 2.76-2.79
Rh  0.8171  0.3943  0.3943  6 Tm 2.76-2.79



Entry from Alexandria via LeMat-Bulk: TmZn4Rh after structural relaxation (PBE).

Values from the calculation:
**E_form**: -0.48 eV/atom

a b c (Å): 5.0960 5.0960 5.0960
angles (deg): 60.00 60.00 60.00
Closest atoms and distances in Å follow each position.
Fractional coordinates of all 6 atoms:
Tm  0.0000  0.0000  0.0000  12 Zn 2.99, 4 Rh 3.12
Zn  0.1283  0.6239  0.6239  6 Zn 2.53-2.57
Zn  0.6239  0.1283  0.6239  6 Zn 2.53-2.57
Zn  0.6239  0.6239  0.1283  6 Zn 2.53-2.57
Zn  0.6239  0.6239  0.6239  6 Zn 2.53-2.57
Rh  0.2500  0.2500  0.2500  12 Zn 2.99, 4 Tm 3.12



What is the E_form in the second record? -0.50 eV/atom



E_form of number 1 (TmZn4Rh2)? -0.46 eV/atom



E_form of number 1 (TmZn4Rh2)? -0.46 eV/atom